Version 1
A plane-wave DFT calculation with PBE was carried out for an optimized crystal structure of CsRbZnH2.

Space group: Cm

a b c (Å): 5.978 5.978 6.902
angles (deg): 116.84 116.84 55.65
Fractional coordinates of all 5 atoms:
1 Cs 0.000 0.000 0.000
2 Rb 0.517 0.517 0.534
3 Zn 0.742 0.742 0.273
4 H 0.551 0.551 0.167
5 H 0.716 0.716 0.999

---

Version 2
A plane-wave DFT calculation with PBE was carried out for an optimized crystal structure of CsRbZnH2.

Space group: P1

a b c (Å): 5.103 5.122 6.782
angles (deg): 84.62 84.87 84.50
Fractional coordinates of all 5 atoms:
1 Cs 0.000 0.000 0.000
2 Rb 0.592 0.590 0.461
3 Zn 0.173 0.170 0.426
4 H 0.081 0.451 0.256
5 H 0.452 0.078 0.256

---

Winner for stability: version 1